# Al2CoP | Alexandria | PBE-GGA | relaxed
data_Al2CoP
_chemical_formula_sum 'Al4 Co2 P2'
_cell_length_a 5.711
_cell_length_b 5.711
_cell_length_c 6.365
_cell_angle_alpha 63.34
_cell_angle_beta 63.34
_cell_angle_gamma 90.00
_symmetry_space_group_name_H-M 'P 1'
_symmetry_Int_Tables_number 1
_symmetry_space_group_name_Hall 'P 1'
loop_
_atom_site_label
_atom_site_fract_x
_atom_site_fract_y
_atom_site_fract_z
P1 0.500 0.500 0.000
P2 0.250 0.750 0.500
Co1 0.000 0.000 0.000
Co2 0.750 0.250 0.500
Al1 0.628 0.125 0.250
Al2 0.122 0.625 0.250
Al3 0.375 0.372 0.750
Al4 0.875 0.878 0.750
# DFT formation energy = 1.3 eV per formula unit
# SG = I-42d, No. 122
# Density of states at the Fermi level = 1.95 states/eV per cell

---

# Al2CoP | Alexandria | PBE-GGA | relaxed
data_Al2CoP
_chemical_formula_sum 'Al2 Co1 P1'
_cell_length_a 7.787
_cell_length_b 7.787
_cell_length_c 7.787
_cell_angle_alpha 21.30
_cell_angle_beta 21.30
_cell_angle_gamma 21.30
_symmetry_space_group_name_H-M 'P 1'
_symmetry_Int_Tables_number 1
_symmetry_space_group_name_Hall 'P 1'
loop_
_atom_site_label
_atom_site_fract_x
_atom_site_fract_y
_atom_site_fract_z
P1 0.750 0.750 0.750
Co1 0.250 0.250 0.250
Al1 0.994 0.994 0.994
Al2 0.506 0.506 0.506
# DFT formation energy = -0.5 eV per formula unit
# SG = R-3m, No. 166
# Density of states at the Fermi level = 2.38 states/eV per cell

---

# Al2CoP | Alexandria | PBE-GGA | relaxed
data_Al2CoP
_chemical_formula_sum 'Al2 Co1 P1'
_cell_length_a 4.431
_cell_length_b 4.431
_cell_length_c 4.434
_cell_angle_alpha 80.90
_cell_angle_beta 80.90
_cell_angle_gamma 38.25
_symmetry_space_group_name_H-M 'P 1'
_symmetry_Int_Tables_number 1
_symmetry_space_group_name_Hall 'P 1'
loop_
_atom_site_label
_atom_site_fract_x
_atom_site_fract_y
_atom_site_fract_z
P1 0.250 0.250 0.250
Co1 0.750 0.750 0.750
Al1 0.010 0.010 0.990
Al2 0.490 0.490 0.510
# DFT formation energy = -0.3 eV per formula unit
# SG = C2/m, No. 12
# Density of states at the Fermi level = 1.65 states/eV per cell

---

- Which formula does entry 1 have?
  Al2CoP

---

- What is the DFT formation energy in the second record?
  -0.5 eV per formula unit

---

- Which value of density of states at the Fermi level does entry 3 give?
  1.65 states/eV per cell

---

What did the first record say?
# Al2CoP | Alexandria | PBE-GGA | relaxed
data_Al2CoP
_chemical_formula_sum 'Al4 Co2 P2'
_cell_length_a 5.711
_cell_length_b 5.711
_cell_length_c 6.365
_cell_angle_alpha 63.34
_cell_angle_beta 63.34
_cell_angle_gamma 90.00
_symmetry_space_group_name_H-M 'P 1'
_symmetry_Int_Tables_number 1
_symmetry_space_group_name_Hall 'P 1'
loop_
_atom_site_label
_atom_site_fract_x
_atom_site_fract_y
_atom_site_fract_z
P1 0.500 0.500 0.000
P2 0.250 0.750 0.500
Co1 0.000 0.000 0.000
Co2 0.750 0.250 0.500
Al1 0.628 0.125 0.250
Al2 0.122 0.625 0.250
Al3 0.375 0.372 0.750
Al4 0.875 0.878 0.750
# DFT formation energy = 1.3 eV per formula unit
# SG = I-42d, No. 122
# Density of states at the Fermi level = 1.95 states/eV per cell